Entry a
The following is a DFT calculation (PBE) of Na3TeW after structural relaxation.

Symmetry: No. 221
Theoretical density (g cm⁻³): 3.2
Total moment (Bohr magnetons per cell): 5.000

```
Na3TeW
1.0
-1.141 5.716 0.267
-3.812 -0.556 -4.383
-4.268 -1.032 3.843
Na Te W
3 1 1
Direct
0.000 0.500 0.000 Na
0.000 0.000 0.500 Na
0.500 0.000 0.000 Na
0.000 0.000 0.000 Te
0.500 0.500 0.500 W
```

=====

Entry b
The following is a DFT calculation (PBE) of Na3TeW after structural relaxation.

Symmetry: No. 221
Theoretical density (g cm⁻³): 3.3
Total moment (Bohr magnetons per cell): 5.000

```
Na3TeW
1.0
-1.266 -2.604 4.985
3.002 -4.634 -1.659
4.756 2.232 2.374
Na Te W
3 1 1
Direct
0.000 0.500 0.000 Na
0.000 0.000 0.500 Na
0.500 0.000 0.000 Na
0.500 0.500 0.500 Te
0.000 0.000 0.000 W
```

=====

Winner for stability: entry a

=====

Entry a
The following is a DFT calculation (PBE) of NaY2Te2 after structural relaxation.

Symmetry: No. 127
Theoretical density (g cm⁻³): 5.2
Total moment (Bohr magnetons per cell): 0.001

```
NaY2Te2
1.0
8.599 0.000 0.000
0.000 8.599 0.000
0.000 0.000 3.907
Y Na Te
4 2 4
Direct
0.357 0.857 0.000 Y
0.857 0.643 0.000 Y
0.643 0.143 0.000 Y
0.143 0.357 0.000 Y
0.000 0.000 0.000 Na
0.500 0.500 0.000 Na
0.152 0.652 0.500 Te
0.652 0.848 0.500 Te
0.848 0.348 0.500 Te
0.348 0.152 0.500 Te
```

=====

Entry b
The following is a DFT calculation (PBE) of NaY2Te2 after structural relaxation.

Symmetry: No. 139
Theoretical density (g cm⁻³): 4.1
Total moment (Bohr magnetons per cell): 0.000

```
NaY2Te2
1.0
5.137 0.000 0.000
0.000 5.137 0.000
2.569 2.569 6.965
Y Na Te
2 1 2
Direct
0.750 0.250 0.500 Y
0.250 0.750 0.500 Y
0.000 0.000 0.000 Na
0.365 0.365 0.269 Te
0.635 0.635 0.731 Te
```

=====

Entry c
The following is a DFT calculation (PBE) of NaY2Te2 after structural relaxation.

Symmetry: No. 127
Theoretical density (g cm⁻³): 5.4
Total moment (Bohr magnetons per cell): 0.000

```
NaY2Te2
1.0
8.390 0.000 0.000
0.000 8.390 0.000
0.000 0.000 4.012
Y Na Te
4 2 4
Direct
0.148 0.648 0.500 Y
0.648 0.852 0.500 Y
0.852 0.352 0.500 Y
0.352 0.148 0.500 Y
0.000 0.000 0.000 Na
0.500 0.500 0.000 Na
0.351 0.851 0.000 Te
0.851 0.649 0.000 Te
0.649 0.149 0.000 Te
0.149 0.351 0.000 Te
```

=====

Winner for stability: entry c

=====

Entry a
The following is a DFT calculation (PBE) of Na5Zn2Te5 after structural relaxation.

Symmetry: No. 107
Theoretical density (g cm⁻³): 3.9
Total moment (Bohr magnetons per cell): 0.194

```
Na5Zn2Te5
1.0
6.366 0.000 3.236
3.183 7.278 1.618
-0.115 0.000 8.106
Na Zn Te
5 2 5
Direct
0.129 0.404 0.000 Na
0.534 0.596 0.000 Na
0.129 0.000 0.404 Na
0.534 0.000 0.596 Na
0.908 0.000 0.000 Na
0.248 0.500 0.500 Zn
0.748 0.500 0.500 Zn
0.999 0.694 0.306 Te
0.999 0.306 0.694 Te
0.693 0.306 0.306 Te
0.468 0.000 0.000 Te
0.304 0.694 0.694 Te
```

=====

Entry b
The following is a DFT calculation (PBE) of Na5Zn2Te5 after structural relaxation.

Symmetry: No. 12
Theoretical density (g cm⁻³): 4.1
Total moment (Bohr magnetons per cell): 0.000

```
Na5Zn2Te5
1.0
-1.544 -2.919 2.432
-3.593 -0.924 -6.847
10.579 -6.140 -0.654
Na Zn Te
5 2 5
Direct
0.500 0.000 0.500 Na
0.665 0.331 0.060 Na
0.764 0.529 0.364 Na
0.236 0.471 0.636 Na
0.335 0.669 0.940 Na
0.044 0.087 0.796 Zn
0.956 0.913 0.204 Zn
0.108 0.215 0.382 Te
0.661 0.322 0.798 Te
0.339 0.678 0.202 Te
0.892 0.785 0.618 Te
0.000 0.000 0.000 Te
```

=====

Winner for stability: entry b

=====

Entry a
The following is a DFT calculation (PBE) of NaZr4Te8 after structural relaxation.

Symmetry: No. 166
Theoretical density (g cm⁻³): 5.2
Total moment (Bohr magnetons per cell): 0.000

```
NaZr4Te8
1.0
7.259 0.000 3.310
2.875 6.665 3.310
0.140 0.092 9.308
Na Zr Te
1 4 8
Direct
0.500 0.500 0.500 Na
0.000 0.500 0.000 Zr
0.500 0.500 0.000 Zr
0.500 0.000 0.000 Zr
0.000 0.000 0.000 Zr
0.744 0.240 0.777 Te
0.760 0.256 0.223 Te
0.256 0.760 0.223 Te
0.760 0.760 0.223 Te
0.741 0.741 0.778 Te
0.259 0.259 0.222 Te
0.240 0.240 0.777 Te
0.240 0.744 0.777 Te
```

=====

Entry b
The following is a DFT calculation (PBE) of NaZr4Te8 after structural relaxation.

Symmetry: No. 216
Theoretical density (g cm⁻³): 5.4
Total moment (Bohr magnetons per cell): 0.000

```
NaZr4Te8
1.0
-0.948 7.312 -4.263
-7.795 2.770 -2.024
-3.246 6.827 3.923
Na Zr Te
1 4 8
Direct
0.750 0.750 0.750 Na
0.893 0.369 0.369 Zr
0.369 0.893 0.369 Zr
0.369 0.369 0.893 Zr
0.369 0.369 0.369 Zr
0.622 0.126 0.126 Te
0.126 0.622 0.126 Te
0.126 0.126 0.622 Te
0.126 0.126 0.126 Te
0.159 0.614 0.614 Te
0.614 0.159 0.614 Te
0.614 0.614 0.159 Te
0.614 0.614 0.614 Te
```

=====

Winner for stability: entry a

=====

Entry a
The following is a DFT calculation (PBE) of NaZrTe3 after structural relaxation.

Symmetry: No. 11
Theoretical density (g cm⁻³): 5.2
Total moment (Bohr magnetons per cell): 0.000

```
NaZrTe3
1.0
5.599 1.162 0.000
0.007 6.755 0.000
0.000 0.000 8.464
Na Zr Te
2 2 6
Direct
0.527 0.530 0.750 Na
0.473 0.470 0.250 Na
0.991 0.002 0.750 Zr
0.009 0.998 0.250 Zr
0.115 0.693 0.504 Te
0.885 0.307 0.496 Te
0.115 0.693 0.996 Te
0.885 0.307 0.004 Te
0.491 0.018 0.750 Te
0.509 0.982 0.250 Te
```

=====

Entry b
The following is a DFT calculation (PBE) of NaZrTe3 after structural relaxation.

Symmetry: No. 221
Theoretical density (g cm⁻³): 4.6
Total moment (Bohr magnetons per cell): 0.000

```
NaZrTe3
1.0
-1.997 2.239 -4.797
-2.389 -4.956 -1.319
-4.724 1.560 2.695
Na Te Zr
1 3 1
Direct
0.500 0.500 0.500 Na
0.000 0.500 0.000 Te
0.000 0.000 0.500 Te
0.500 0.000 0.000 Te
0.000 0.000 0.000 Zr
```

=====

Winner for stability: entry a

=====

Entry a
The following is a DFT calculation (PBE) of NaTm2Th after structural relaxation.

Symmetry: No. 123
Theoretical density (g cm⁻³): 7.6
Total moment (Bohr magnetons per cell): 0.000

```
NaTm2Th
1.0
-0.599 2.984 -1.819
-0.615 -1.907 -2.925
-10.031 -0.522 2.448
Na Tm Th
1 2 1
Direct
0.500 0.500 0.500 Na
0.000 0.000 0.775 Tm
0.000 0.000 0.225 Tm
0.500 0.500 0.000 Th
```

=====

Entry b
The following is a DFT calculation (PBE) of NaTm2Th after structural relaxation.

Symmetry: No. 166
Theoretical density (g cm⁻³): 7.4
Total moment (Bohr magnetons per cell): 0.000

```
NaTm2Th
1.0
3.526 0.000 0.000
1.763 3.053 0.000
1.763 1.018 12.426
Na Tm Th
1 2 1
Direct
0.000 0.000 0.000 Na
0.093 0.093 0.720 Tm
0.907 0.907 0.280 Tm
0.500 0.500 0.500 Th
```

=====

Winner for stability: entry a

=====

Entry a
The following is a DFT calculation (PBE) of NaTmTh after structural relaxation.

Symmetry: No. 156
Theoretical density (g cm⁻³): 7.2
Total moment (Bohr magnetons per cell): 0.000

```
NaTmTh
1.0
3.504 0.000 0.000
-1.752 3.035 0.000
0.000 0.000 9.243
Na Tm Th
1 1 1
Direct
0.000 0.000 0.995 Na
0.333 0.667 0.652 Tm
0.667 0.333 0.353 Th
```

=====

Entry b
The following is a DFT calculation (PBE) of NaTmTh after structural relaxation.

Symmetry: No. 129
Theoretical density (g cm⁻³): 6.8
Total moment (Bohr magnetons per cell): 0.000

```
NaTmTh
1.0
4.871 0.000 0.000
0.000 4.871 0.000
0.000 0.000 8.768
Tm Na Th
2 2 2
Direct
0.500 0.000 0.272 Tm
0.000 0.500 0.728 Tm
0.500 0.000 0.674 Na
0.000 0.500 0.326 Na
0.500 0.500 0.000 Th
0.000 0.000 0.000 Th
```

=====

Winner for stability: entry a

=====

Entry a
The following is a DFT calculation (PBE) of NaTi after structural relaxation.

Symmetry: No. 59
Theoretical density (g cm⁻³): 2.4
Total moment (Bohr magnetons per cell): 0.000

```
NaTi
1.0
-4.023 1.433 -0.524
-0.256 -3.408 -7.354
-3.040 -7.266 3.473
Na Ti
6 6
Direct
0.000 0.840 0.667 Na
0.500 0.160 0.833 Na
0.500 0.160 0.167 Na
0.000 0.840 0.333 Na
0.000 0.840 0.000 Na
0.500 0.160 0.500 Na
0.000 0.452 0.833 Ti
0.500 0.548 0.667 Ti
0.500 0.548 0.333 Ti
0.000 0.452 0.167 Ti
0.000 0.452 0.500 Ti
0.500 0.548 0.000 Ti
```

=====

Entry b
The following is a DFT calculation (PBE) of NaTi after structural relaxation.

Symmetry: No. 217
Theoretical density (g cm⁻³): 1.0
Total moment (Bohr magnetons per cell): 10.912

```
NaTi
1.0
-6.194 5.437 -5.099
4.976 -1.919 -8.091
-5.549 -7.789 -1.566
Na Ti
8 8
Direct
0.209 0.209 0.209 Na
0.209 0.791 0.791 Na
0.791 0.209 0.791 Na
0.791 0.791 0.209 Na
0.709 0.709 0.709 Na
0.709 0.291 0.291 Na
0.291 0.709 0.291 Na
0.291 0.291 0.709 Na
0.409 0.409 0.409 Ti
0.409 0.591 0.591 Ti
0.591 0.409 0.591 Ti
0.591 0.591 0.409 Ti
0.909 0.909 0.909 Ti
0.909 0.091 0.091 Ti
0.091 0.909 0.091 Ti
0.091 0.091 0.909 Ti
```

=====

Entry c
The following is a DFT calculation (PBE) of NaTi after structural relaxation.

Symmetry: No. 223
Theoretical density (g cm⁻³): 1.0
Total moment (Bohr magnetons per cell): 18.294

```
NaTi
1.0
-3.231 -4.028 7.143
-1.796 -7.144 -4.840
8.002 -3.230 1.798
Na Ti
6 6
Direct
0.250 0.000 0.500 Na
0.750 0.000 0.500 Na
0.000 0.500 0.250 Na
0.000 0.500 0.750 Na
0.500 0.250 0.000 Na
0.500 0.750 0.000 Na
0.250 0.500 0.000 Ti
0.750 0.500 0.000 Ti
0.500 0.000 0.250 Ti
0.500 0.000 0.750 Ti
0.000 0.250 0.500 Ti
0.000 0.750 0.500 Ti
```

=====

Entry d
The following is a DFT calculation (PBE) of NaTi after structural relaxation.

Symmetry: No. 87
Theoretical density (g cm⁻³): 2.3
Total moment (Bohr magnetons per cell): 11.519

```
NaTi
1.0
12.081 0.000 0.000
0.000 12.081 0.000
0.000 0.000 2.829
Na Ti
8 8
Direct
0.622 0.831 0.000 Na
0.378 0.169 0.000 Na
0.169 0.622 0.000 Na
0.831 0.378 0.000 Na
0.122 0.331 0.500 Na
0.878 0.669 0.500 Na
0.669 0.122 0.500 Na
0.331 0.878 0.500 Na
0.365 0.436 0.000 Ti
0.635 0.564 0.000 Ti
0.564 0.365 0.000 Ti
0.436 0.635 0.000 Ti
0.865 0.936 0.500 Ti
0.135 0.064 0.500 Ti
0.064 0.865 0.500 Ti
0.936 0.135 0.500 Ti
```

=====

Winner for stability: entry a

=====

Entry a
The following is a DFT calculation (PBE) of NaTi after structural relaxation.

Symmetry: No. 186
Theoretical density (g cm⁻³): 2.7
Total moment (Bohr magnetons per cell): 0.009

```
NaTi
1.0
-0.859 0.972 2.545
-1.893 -0.343 -2.112
-2.024 -11.378 3.664
Na Ti
2 2
Direct
0.333 0.667 0.414 Na
0.667 0.333 0.914 Na
0.333 0.667 0.668 Ti
0.667 0.333 0.168 Ti
```

=====

Entry b
The following is a DFT calculation (PBE) of NaTi after structural relaxation.

Symmetry: No. 59
Theoretical density (g cm⁻³): 2.5
Total moment (Bohr magnetons per cell): 0.002

```
NaTi
1.0
-11.433 -10.068 5.949
1.952 -1.157 1.793
-1.416 4.073 4.171
Na Ti
6 6
Direct
0.817 0.507 0.000 Na
0.317 0.493 0.500 Na
0.683 0.493 0.500 Na
0.183 0.507 0.000 Na
0.000 0.014 0.000 Na
0.500 0.986 0.500 Na
0.368 0.997 0.000 Ti
0.868 0.003 0.500 Ti
0.132 0.003 0.500 Ti
0.632 0.997 0.000 Ti
0.000 0.506 0.500 Ti
0.500 0.494 0.000 Ti
```

=====

Winner for stability: entry a

=====

Entry a
The following is a DFT calculation (PBE) of Na3Ti after structural relaxation.

Symmetry: No. 221
Theoretical density (g cm⁻³): 1.6
Total moment (Bohr magnetons per cell): 3.152

```
Na3Ti
1.0
4.924 0.000 0.000
0.000 4.924 0.000
0.000 0.000 4.924
Na Ti
3 1
Direct
0.000 0.500 0.500 Na
0.500 0.000 0.500 Na
0.500 0.500 0.000 Na
0.000 0.000 0.000 Ti
```

=====

Entry b
The following is a DFT calculation (PBE) of Na3Ti after structural relaxation.

Symmetry: No. 194
Theoretical density (g cm⁻³): 1.6
Total moment (Bohr magnetons per cell): 6.160

```
Na3Ti
1.0
3.479 -6.025 0.000
3.479 6.025 0.000
0.000 0.000 5.755
Na Ti
6 2
Direct
0.171 0.343 0.250 Na
0.657 0.829 0.250 Na
0.171 0.829 0.250 Na
0.829 0.657 0.750 Na
0.343 0.171 0.750 Na
0.829 0.171 0.750 Na
0.333 0.667 0.750 Ti
0.667 0.333 0.250 Ti
```

=====

Winner for stability: entry a